No. 1
! NaSm2DyTe4 | Alexandria | GGA-PBE | relaxed; values from VASP
&SYSTEM
  ibrav = 0, nat = 8, ntyp = 4
/
ATOMIC_SPECIES
Na 22.99 Na.upf
Sm 150.36 Sm.upf
Dy 162.50 Dy.upf
Te 127.60 Te.upf
CELL_PARAMETERS angstrom
4.402 0.000 0.000
0.000 7.694 0.180
0.000 -2.671 7.230
ATOMIC_POSITIONS angstrom
Na 0.000 0.000 0.000
Sm 2.201 -1.336 3.615
Sm 0.000 2.512 3.705
Dy 2.201 3.847 0.090
Te 2.201 1.277 1.827
Te 2.201 3.746 5.582
Te 0.000 -0.075 5.518
Te 0.000 5.098 1.892
! D(E_F), states/eV per cell: 3.3
! Energy relative to the elements, uncorrected, eV/atom: -1.3404

***

No. 2
! NaSmDyTl | Alexandria | GGA-PBE | relaxed; values from VASP
&SYSTEM
  ibrav = 0, nat = 4, ntyp = 4
/
ATOMIC_SPECIES
Na 22.99 Na.upf
Tl 204.38 Tl.upf
Sm 150.36 Sm.upf
Dy 162.50 Dy.upf
CELL_PARAMETERS angstrom
5.453 0.000 0.000
2.726 4.722 0.000
2.726 1.574 4.452
ATOMIC_POSITIONS angstrom
Na 0.000 0.000 0.000
Tl 5.453 3.148 2.226
Sm 2.726 1.574 1.113
Dy 8.179 4.722 3.339
! Energy of formation from the pure elements, eV per atom: -0.065
! D(E_F), states/eV per cell: 4.9

***

No. 3
! NaDySn3 | Alexandria | GGA-PBE | relaxed; values from VASP
&SYSTEM
  ibrav = 0, nat = 20, ntyp = 3
/
ATOMIC_SPECIES
Na 22.99 Na.upf
Dy 162.50 Dy.upf
Sn 118.71 Sn.upf
CELL_PARAMETERS angstrom
-5.057 -2.610 -2.535
3.472 -4.892 -1.890
-2.635 -6.478 11.926
ATOMIC_POSITIONS angstrom
Na 0.213 -3.736 -0.405
Na -6.168 -7.796 8.850
Na -4.432 -10.244 7.907
Na -1.524 -1.291 0.542
Dy -3.467 -6.929 6.339
Dy -0.752 -7.050 1.162
Dy 0.000 -3.316 3.356
Dy -4.220 -10.663 4.145
Sn -2.594 -3.922 5.387
Sn -3.361 -7.611 3.060
Sn -5.097 -5.165 4.005
Sn -0.858 -6.368 4.442
Sn -0.841 -9.982 8.594
Sn -3.379 -3.998 -1.092
Sn -1.334 -6.285 -1.883
Sn -2.885 -7.695 9.384
Sn -1.831 -9.598 5.788
Sn -2.389 -4.381 1.713
Sn 1.813 -5.551 2.006
Sn -6.033 -8.428 5.495
! Energy of formation from the pure elements, eV per atom: -0.345
! D(E_F), states/eV per cell: 9.3

***

Number 1: size of the total moment 0.00 μB per formula unit. Number 2: size of the total moment 0.00 μB per formula unit. Number 3: size of the total moment 0.00 μB per formula unit.